SiPRu: optimized geometry, PBE-GGA.

Summary:
**Uncorrected formation energy**: -0.23 eV/atom
**DOS(E_F)**: 1.06 states/eV/f.u.
**M_tot**: 0.00 Bohr magnetons per cell

Cell: 2.9075 4.3452 4.3891 Å, 76.73 71.68 71.22°
Closest atoms and distances in Å follow each position.
Element x y z (fractional)
Ru (0.3802, 0.8520, 0.9323)  3 P 2.32-2.44, 3 Si 2.39-2.46
Si (0.0244, 0.0065, 0.4801)  1 P 2.24, 3 Ru 2.39-2.46
P (0.0326, 0.4129, 0.0602)  1 Si 2.24, 3 Ru 2.32-2.44

***

LiCoMoOs: optimized geometry, PBE-GGA.

Summary:
**DOS(E_F)**: 1.45 states/eV/f.u.
**M_tot**: 0.00 Bohr magnetons per cell
**ΔH_f (0 K)**: 0.1050 eV/atom

Cell: 4.1993 4.1993 4.1993 Å, 60.00 60.00 60.00°
Closest atoms and distances in Å follow each position.
Element x y z (fractional)
Li (0.0000, 0.0000, 0.0000)  4 Os 2.57, 4 Co 2.57
Os (0.2500, 0.2500, 0.2500)  4 Mo 2.57, 4 Li 2.57
Mo (0.5000, 0.5000, 0.5000)  4 Co 2.57, 4 Os 2.57
Co (0.7500, 0.7500, 0.7500)  4 Mo 2.57, 4 Li 2.57

***

ZnCoPt: optimized geometry, PBE-GGA.

Summary:
**DOS(E_F)**: 2.89 states/eV/f.u.
**M_tot**: 1.87 Bohr magnetons per cell
**ΔH_f (0 K)**: 0.0824 eV/atom

Cell: 4.0414 4.0414 4.0414 Å, 60.00 60.00 60.00°
Closest atoms and distances in Å follow each position.
Element x y z (fractional)
Zn (0.5000, 0.5000, 0.5000)  4 Co 2.47
Co (0.7500, 0.7500, 0.7500)  4 Pt 2.47, 4 Zn 2.47
Pt (0.0000, 0.0000, 0.0000)  4 Co 2.47

***

TlC2: optimized geometry, PBE-GGA.

Summary:
**DOS(E_F)**: 1.22 states/eV/f.u.
**M_tot**: 0.00 Bohr magnetons per cell
**ΔH_f (0 K)**: 0.9258 eV/atom

Cell: 2.7028 2.7028 8.8899 Å, 90.00 90.00 120.00°
Closest atoms and distances in Å follow each position.
Element x y z (fractional)
Tl (0.0000, 0.0000, 0.0000)  6 Tl 2.70
C (0.6667, 0.3333, 0.5000)  3 C 1.56
C (0.3333, 0.6667, 0.5000)  3 C 1.56

***

Dy2Ag3SnS6: optimized geometry, PBE-GGA.

Summary:
**Uncorrected formation energy**: -0.93 eV/atom
**DOS(E_F)**: 1.14 states/eV/f.u.
**M_tot**: 0.00 Bohr magnetons per cell

Cell: 3.9360 7.5150 9.1830 Å, 100.31 102.38 90.00°
Closest atoms and distances in Å follow each position.
Element x y z (fractional)
Sn (0.5000, 0.0000, 0.0000)  6 S 2.77
Ag (0.8116, 0.1596, 0.6233)  5 S 2.71-2.77
Dy (0.1667, 0.3341, 0.3335)  6 S 2.73-2.80
S (0.0081, 0.2626, 0.0162)  2 Ag 2.68, 2 Sn 2.77, 1 Dy 2.80
Ag (0.5000, 0.5000, 0.0000)  4 S 2.68
Ag (0.1884, 0.8404, 0.3767)  5 S 2.71-2.77
S (0.6568, 0.0754, 0.3136)  3 Ag 2.73-2.77, 2 Dy 2.75, 1 Sn 2.77
S (0.9919, 0.7374, 0.9838)  2 Ag 2.68, 2 Sn 2.77, 1 Dy 2.80
S (0.3240, 0.4108, 0.6480)  2 Ag 2.71, 3 Dy 2.73-2.77
S (0.6760, 0.5892, 0.3520)  2 Ag 2.71, 3 Dy 2.73-2.77
Dy (0.8333, 0.6659, 0.6665)  6 S 2.73-2.80
S (0.3432, 0.9246, 0.6864)  3 Ag 2.73-2.77, 2 Dy 2.75, 1 Sn 2.77

***

TlCu4S2I: optimized geometry, PBE-GGA.

Summary:
**Uncorrected formation energy**: -0.17 eV/atom
**M_tot**: 0.00 Bohr magnetons per cell

Cell: 4.0124 4.0124 10.3801 Å, 90.00 90.00 90.00°
Closest atoms and distances in Å follow each position.
Element x y z (fractional)
Cu (0.0000, 0.5000, 0.2135)  2 S 2.25
Cu (0.5000, 0.0000, 0.7865)  2 S 2.25
I (0.0000, 0.0000, 0.0000)  8 Cu 2.99
Cu (0.5000, 0.0000, 0.2135)  2 S 2.25
S (0.5000, 0.5000, 0.3106)  4 Cu 2.25
Cu (0.0000, 0.5000, 0.7865)  2 S 2.25
Tl (0.0000, 0.0000, 0.5000)  8 S 3.45, 8 Cu 3.59
S (0.5000, 0.5000, 0.6894)  4 Cu 2.25

***

Na2TbHfS4: optimized geometry, PBE-GGA.

Summary:
**Uncorrected formation energy**: -1.62 eV/atom
**DOS(E_F)**: 2.75 states/eV/f.u.
**M_tot**: 0.00 Bohr magnetons per cell

Cell: 3.8071 6.6497 7.0825 Å, 107.99 90.00 90.00°
Closest atoms and distances in Å follow each position.
Element x y z (fractional)
Na (0.0000, 0.5000, 0.5000)  6 S 2.83
S (0.0000, 0.2741, 0.7788)  2 Hf 2.62, 1 Tb 2.75, 3 Na 2.83-2.94
S (0.0000, 0.7259, 0.2212)  2 Hf 2.62, 1 Tb 2.75, 3 Na 2.83-2.94
Hf (0.5000, 0.5000, 0.0000)  6 S 2.60-2.62
Tb (0.0000, 0.0000, 0.0000)  6 S 2.74-2.75
S (0.5000, 0.2591, 0.2284)  1 Hf 2.60, 2 Tb 2.74, 2 Na 2.83
S (0.5000, 0.7409, 0.7716)  1 Hf 2.60, 2 Tb 2.74, 2 Na 2.83
Na (0.5000, 0.0000, 0.5000)  6 S 2.94-2.95

***

Tb4Al24Pd9: optimized geometry, PBE-GGA.

Summary:
**DOS(E_F)**: 6.98 states/eV/f.u.
**M_tot**: 0.00 Bohr magnetons per cell
**ΔH_f (0 K)**: -0.7179 eV/atom

Cell: 7.5526 7.5490 13.2202 Å, 84.54 100.89 119.91°
Closest atoms and distances in Å follow each position.
Element x y z (fractional)
Al (0.1030, 0.9583, 0.8162)  2 Pd 2.53-2.59, 4 Al 2.69-2.83
Al (0.6463, 0.1666, 0.4407)  4 Pd 2.56-2.69
Al (0.8178, 0.8331, 0.9543)  3 Pd 2.59-2.64, 5 Al 2.79-2.84
Pd (0.6128, 0.4924, 0.3623)  8 Al 2.52-2.77
Al (0.8970, 0.0417, 0.1838)  2 Pd 2.53-2.59, 4 Al 2.69-2.83
Pd (0.8286, 0.1715, 0.0000)  8 Al 2.57-2.64
Al (0.1822, 0.1669, 0.0457)  3 Pd 2.59-2.64, 5 Al 2.79-2.84
Pd (0.0464, 0.8255, 0.6373)  8 Al 2.53-2.76
Al (0.5184, 0.8336, 0.0555)  3 Pd 2.57-2.62, 3 Al 2.77-2.84
Al (0.9794, 0.8333, 0.4392)  4 Pd 2.57-2.77, 3 Al 2.83-2.84
Pd (0.7051, 0.1670, 0.6377)  8 Al 2.53-2.76
Pd (0.9536, 0.1745, 0.3627)  8 Al 2.53-2.76
Al (0.3537, 0.8334, 0.5593)  4 Pd 2.56-2.69
Al (0.0206, 0.1667, 0.5608)  4 Pd 2.57-2.77, 3 Al 2.83-2.84
Al (0.1022, 0.8360, 0.1838)  2 Pd 2.53-2.59, 4 Al 2.69-2.83
Tb (0.2313, 0.4984, 0.1908)  11 Al 3.07-3.25, 3 Pd 3.33-3.35
Al (0.3825, 0.1656, 0.6695)  3 Pd 2.55-2.56, 1 Al 2.84
Tb (0.4384, 0.8321, 0.8093)  11 Al 3.07-3.25, 3 Pd 3.33-3.36
Al (0.1480, 0.5000, 0.9445)  3 Pd 2.57-2.62, 3 Al 2.77-2.84
Al (0.8978, 0.1640, 0.8162)  2 Pd 2.53-2.59, 4 Al 2.69-2.83
Al (0.0563, 0.4930, 0.6698)  3 Pd 2.54-2.56, 1 Al 2.84
Al (0.6175, 0.8344, 0.3305)  3 Pd 2.55-2.56, 1 Al 2.84
Pd (0.2949, 0.8330, 0.3623)  8 Al 2.53-2.76
Al (0.8520, 0.5000, 0.0555)  3 Pd 2.57-2.62, 3 Al 2.77-2.84
Al (0.6916, 0.6302, 0.1850)  2 Pd 2.52-2.60, 4 Al 2.69-2.77
Al (0.6864, 0.4996, 0.5592)  4 Pd 2.56-2.70
Pd (0.3872, 0.5076, 0.6377)  8 Al 2.52-2.77
Pd (0.5000, 0.5000, 0.0000)  8 Al 2.59-2.62
Tb (0.7687, 0.5016, 0.8092)  11 Al 3.07-3.25, 3 Pd 3.33-3.35
Pd (0.1714, 0.8285, 0.0000)  8 Al 2.57-2.64
Tb (0.5616, 0.1679, 0.1907)  11 Al 3.07-3.25, 3 Pd 3.33-3.36
Al (0.7309, 0.8406, 0.6686)  3 Pd 2.55-2.56, 1 Al 2.83
Al (0.4816, 0.1664, 0.9445)  3 Pd 2.57-2.62, 3 Al 2.77-2.84
Al (0.3084, 0.3698, 0.8150)  2 Pd 2.52-2.60, 4 Al 2.69-2.77
Al (0.2691, 0.1594, 0.3314)  3 Pd 2.55-2.56, 1 Al 2.83
Al (0.9437, 0.5070, 0.3302)  3 Pd 2.54-2.56, 1 Al 2.84
Al (0.3136, 0.5004, 0.4408)  4 Pd 2.56-2.70

***

CrHIr2Ru: optimized geometry, PBE-GGA.

Summary:
**DOS(E_F)**: 4.52 states/eV/f.u.
**M_tot**: 1.22 Bohr magnetons per cell
**Total DFT energy (no corrections)**: -8.000 eV per atom

Cell: 3.8723 3.8723 3.8881 Å, 90.00 90.00 90.00°
Closest atoms and distances in Å follow each position.
Element x y z (fractional)
Cr (0.5000, 0.5000, 0.5000)  4 Ru 2.74, 8 Ir 2.74
Ir (0.5000, 0.0000, 0.0000)  2 H 1.94
Ru (0.0000, 0.0000, 0.5000)  2 H 1.94
Ir (0.0000, 0.5000, 0.0000)  2 H 1.94
H (0.0000, 0.0000, 0.0000)  4 Ir 1.94, 2 Ru 1.94

***

PbAuI4: optimized geometry, PBE-GGA.

Summary:
**Uncorrected formation energy**: -0.28 eV/atom
**DOS(E_F)**: 2.00 states/eV/f.u.
**M_tot**: 0.00 Bohr magnetons per cell

Cell: 6.4918 6.5963 6.3723 Å, 102.20 106.86 92.31°
Closest atoms and distances in Å follow each position.
Element x y z (fractional)
I (0.8265, 0.2100, 0.9853)  1 Au 2.93
I (0.7709, 0.6966, 0.4390)  1 Au 2.69
I (0.2433, 0.8539, 0.0421)  1 Au 2.90, 1 Pb 3.13
Au (0.5199, 0.5206, 0.0162)  4 I 2.68-2.93
Pb (0.6298, 0.1443, 0.4115)  5 I 3.13-3.43
I (0.2596, 0.3245, 0.6059)  1 Au 2.68